No. 1
Below is a relaxed structure of Nd3Sb5Te12, with properties calculated at the PBE level.

Raw formation energy, eV per atom: -0.465
SG: No. 230

Cell: 15.8516 15.8516 15.8516 Å, 109.47 109.47 109.47°
With the nearest neighbours (Å) after each atom.
Positions (direct):
1 Nd 0.1250 0.2500 0.3750  8 Te 3.36-3.39
2 Nd 0.1250 0.3750 0.7500  8 Te 3.36-3.39
3 Nd 0.2500 0.3750 0.1250  8 Te 3.36-3.39
4 Nd 0.2500 0.8750 0.6250  8 Te 3.36-3.39
5 Nd 0.3750 0.1250 0.2500  8 Te 3.36-3.39
6 Nd 0.3750 0.7500 0.1250  8 Te 3.36-3.39
7 Nd 0.6250 0.2500 0.8750  8 Te 3.36-3.39
8 Nd 0.6250 0.8750 0.7500  8 Te 3.36-3.39
9 Nd 0.7500 0.1250 0.3750  8 Te 3.36-3.39
10 Nd 0.7500 0.6250 0.8750  8 Te 3.36-3.39
11 Nd 0.8750 0.6250 0.2500  8 Te 3.36-3.39
12 Nd 0.8750 0.7500 0.6250  8 Te 3.36-3.39
13 Sb 0.0000 0.0000 0.0000  6 Te 3.07
14 Sb 0.0000 0.0000 0.5000  6 Te 3.07
15 Sb 0.0000 0.5000 0.0000  6 Te 3.07
16 Sb 0.0000 0.5000 0.5000  6 Te 3.07
17 Sb 0.1250 0.7500 0.8750  4 Te 2.95
18 Sb 0.1250 0.8750 0.2500  4 Te 2.95
19 Sb 0.2500 0.1250 0.8750  4 Te 2.95
20 Sb 0.2500 0.6250 0.3750  4 Te 2.95
21 Sb 0.3750 0.2500 0.6250  4 Te 2.95
22 Sb 0.3750 0.6250 0.7500  4 Te 2.95
23 Sb 0.5000 0.0000 0.0000  6 Te 3.07
24 Sb 0.5000 0.0000 0.5000  6 Te 3.07
25 Sb 0.5000 0.5000 0.0000  6 Te 3.07
26 Sb 0.5000 0.5000 0.5000  6 Te 3.07
27 Sb 0.6250 0.3750 0.2500  4 Te 2.95
28 Sb 0.6250 0.7500 0.3750  4 Te 2.95
29 Sb 0.7500 0.3750 0.6250  4 Te 2.95
30 Sb 0.7500 0.8750 0.1250  4 Te 2.95
31 Sb 0.8750 0.1250 0.7500  4 Te 2.95
32 Sb 0.8750 0.2500 0.1250  4 Te 2.95
33 Te 0.0520 0.2204 0.1376  2 Sb 2.95-3.07
34 Te 0.0520 0.3316 0.9144  2 Sb 2.95-3.07
35 Te 0.0828 0.7204 0.6684  2 Sb 2.95-3.07
36 Te 0.0828 0.8624 0.4144  2 Sb 2.95-3.07
37 Te 0.0856 0.6375 0.4172  2 Sb 2.95-3.07
38 Te 0.0856 0.9480 0.6684  2 Sb 2.95-3.07
39 Te 0.1376 0.0520 0.2204  2 Sb 2.95-3.07
40 Te 0.1376 0.5856 0.9172  2 Sb 2.95-3.07
41 Te 0.1684 0.2204 0.5828  2 Sb 2.95-3.07
42 Te 0.1684 0.4480 0.5856  2 Sb 2.95-3.07
43 Te 0.2204 0.1376 0.0520  2 Sb 2.95-3.07
44 Te 0.2204 0.5828 0.1684  2 Sb 2.95-3.07
45 Te 0.2796 0.3316 0.9172  2 Sb 2.95-3.07
46 Te 0.2796 0.4480 0.3624  2 Sb 2.95-3.07
47 Te 0.3316 0.9144 0.0520  2 Sb 2.95-3.07
48 Te 0.3316 0.9172 0.2796  2 Sb 2.95-3.07
49 Te 0.3624 0.2796 0.4480  2 Sb 2.95-3.07
50 Te 0.3624 0.5828 0.9144  2 Sb 2.95-3.07
51 Te 0.4144 0.0828 0.8624  2 Sb 2.95-3.07
52 Te 0.4144 0.8316 0.5520  2 Sb 2.95-3.07
53 Te 0.4172 0.0856 0.6375  2 Sb 2.95-3.07
54 Te 0.4172 0.8316 0.7796  2 Sb 2.95-3.07
55 Te 0.4480 0.3624 0.2796  2 Sb 2.95-3.07
56 Te 0.4480 0.5856 0.1684  2 Sb 2.95-3.07
57 Te 0.5520 0.4144 0.8316  2 Sb 2.95-3.07
58 Te 0.5520 0.6375 0.7204  2 Sb 2.95-3.07
59 Te 0.5828 0.1684 0.2204  2 Sb 2.95-3.07
60 Te 0.5828 0.9144 0.3624  2 Sb 2.95-3.07
61 Te 0.5856 0.1684 0.4480  2 Sb 2.95-3.07
62 Te 0.5856 0.9172 0.1376  2 Sb 2.95-3.07
63 Te 0.6375 0.4172 0.0856  2 Sb 2.95-3.07
64 Te 0.6375 0.7204 0.5520  2 Sb 2.95-3.07
65 Te 0.6684 0.0828 0.7204  2 Sb 2.95-3.07
66 Te 0.6684 0.0856 0.9480  2 Sb 2.95-3.07
67 Te 0.7204 0.5520 0.6375  2 Sb 2.95-3.07
68 Te 0.7204 0.6684 0.0828  2 Sb 2.95-3.07
69 Te 0.7796 0.4172 0.8316  2 Sb 2.95-3.07
70 Te 0.7796 0.8624 0.9480  2 Sb 2.95-3.07
71 Te 0.8316 0.5520 0.4144  2 Sb 2.95-3.07
72 Te 0.8316 0.7796 0.4172  2 Sb 2.95-3.07
73 Te 0.8624 0.4144 0.0828  2 Sb 2.95-3.07
74 Te 0.8624 0.9480 0.7796  2 Sb 2.95-3.07
75 Te 0.9144 0.0520 0.3316  2 Sb 2.95-3.07
76 Te 0.9144 0.3624 0.5828  2 Sb 2.95-3.07
77 Te 0.9172 0.1376 0.5856  2 Sb 2.95-3.07
78 Te 0.9172 0.2796 0.3316  2 Sb 2.95-3.07
79 Te 0.9480 0.6684 0.0856  2 Sb 2.95-3.07
80 Te 0.9480 0.7796 0.8624  2 Sb 2.95-3.07

No. 2
Below is a relaxed structure of NdSbTe, with properties calculated at the PBE level.

Raw formation energy, eV per atom: -1.166
SG: No. 129

Cell: 4.3575 4.3575 9.5393 Å, 90.00 90.00 90.00°
With the nearest neighbours (Å) after each atom.
Positions (direct):
1 Nd 0.2500 0.2500 0.2261  5 Te 3.23-3.35, 4 Sb 3.40
2 Nd 0.7500 0.7500 0.7739  5 Te 3.23-3.35, 4 Sb 3.40
3 Sb 0.2500 0.7500 0.5000  4 Sb 3.08, 4 Nd 3.40
4 Sb 0.7500 0.2500 0.5000  4 Sb 3.08, 4 Nd 3.40
5 Te 0.2500 0.2500 0.8754  5 Nd 3.23-3.35
6 Te 0.7500 0.7500 0.1246  5 Nd 3.23-3.35

No. 3
Below is a relaxed structure of Nd3SbTe, with properties calculated at the PBE level.

Raw formation energy, eV per atom: -1.062
Polymorph energy (0 for the lowest one), meV per atom: 0
SG: No. 62

Cell: 8.4433 4.4535 17.1087 Å, 90.00 90.00 90.00°
With the nearest neighbours (Å) after each atom.
Positions (direct):
1 Nd 0.0126 0.2500 0.1095  3 Te 3.21-3.27, 2 Sb 3.42-3.49
2 Nd 0.1356 0.2500 0.5636  3 Te 3.15-3.43, 2 Sb 3.25
3 Nd 0.1621 0.7500 0.2759  1 Te 3.14, 4 Sb 3.16-3.28
4 Nd 0.3379 0.2500 0.7759  1 Te 3.14, 4 Sb 3.16-3.28
5 Nd 0.3644 0.7500 0.0636  3 Te 3.15-3.43, 2 Sb 3.25
6 Nd 0.4874 0.7500 0.6095  3 Te 3.21-3.27, 2 Sb 3.42-3.49
7 Nd 0.5126 0.2500 0.3905  3 Te 3.21-3.27, 2 Sb 3.42-3.49
8 Nd 0.6356 0.2500 0.9364  3 Te 3.15-3.43, 2 Sb 3.25
9 Nd 0.6621 0.7500 0.2241  1 Te 3.14, 4 Sb 3.16-3.28
10 Nd 0.8379 0.2500 0.7241  1 Te 3.14, 4 Sb 3.16-3.28
11 Nd 0.8644 0.7500 0.4364  3 Te 3.15-3.43, 2 Sb 3.25
12 Nd 0.9874 0.7500 0.8905  3 Te 3.21-3.27, 2 Sb 3.42-3.49
13 Sb 0.1193 0.7500 0.7017  8 Nd 3.16-3.49
14 Sb 0.3807 0.2500 0.2017  8 Nd 3.16-3.49
15 Sb 0.6193 0.7500 0.7983  8 Nd 3.16-3.49
16 Sb 0.8807 0.2500 0.2983  8 Nd 3.16-3.49
17 Te 0.2307 0.2500 0.9517  7 Nd 3.14-3.43
18 Te 0.2693 0.7500 0.4517  7 Nd 3.14-3.43
19 Te 0.7307 0.2500 0.5483  7 Nd 3.14-3.43
20 Te 0.7693 0.7500 0.0483  7 Nd 3.14-3.43

No. 4
Below is a relaxed structure of Nd4Sb2Te, with properties calculated at the PBE level.

Raw formation energy, eV per atom: -1.123
SG: No. 122

Cell: 8.2217 8.2217 8.2217 Å, 109.58 109.58 109.25°
With the nearest neighbours (Å) after each atom.
Positions (direct):
1 Nd 0.1217 0.0145 0.7484  4 Sb 3.15-3.42, 2 Te 3.16-3.44
2 Nd 0.1233 0.5161 0.7516  4 Sb 3.15-3.42, 2 Te 3.16-3.44
3 Nd 0.2661 0.3733 0.2516  4 Sb 3.15-3.42, 2 Te 3.16-3.44
4 Nd 0.4839 0.2355 0.6073  4 Sb 3.15-3.42, 2 Te 3.16-3.44
5 Nd 0.6267 0.8783 0.8927  4 Sb 3.15-3.42, 2 Te 3.16-3.44
6 Nd 0.6283 0.8767 0.3927  4 Sb 3.15-3.42, 2 Te 3.16-3.44
7 Nd 0.7645 0.3717 0.2484  4 Sb 3.15-3.42, 2 Te 3.16-3.44
8 Nd 0.9855 0.7339 0.1073  4 Sb 3.15-3.42, 2 Te 3.16-3.44
9 Sb 0.9999 0.1250 0.3749  8 Nd 3.15-3.42
10 Sb 0.3750 0.0001 0.1251  8 Nd 3.15-3.42
11 Sb 0.7501 0.6250 0.6251  8 Nd 3.15-3.42
12 Sb 0.8750 0.2499 0.8749  8 Nd 3.15-3.42
13 Te 0.2500 0.7500 0.5000  8 Nd 3.16-3.44
14 Te 0.5000 0.5000 0.0000  8 Nd 3.16-3.44

No. 5
Below is a relaxed structure of Nd3SbTe, with properties calculated at the PBE level.

Raw formation energy, eV per atom: -0.768
Polymorph energy (0 for the lowest one), meV per atom: 294
SG: No. 12

Cell: 9.2613 9.2613 10.7027 Å, 108.98 108.98 27.47°
With the nearest neighbours (Å) after each atom.
Positions (direct):
1 Nd 0.0157 0.0157 0.1761  2 Sb 3.14, 1 Te 3.15
2 Nd 0.1831 0.1831 0.5642  1 Te 3.10, 3 Sb 3.10-3.19
3 Nd 0.3483 0.3483 0.9446  3 Te 3.16-3.24, 1 Sb 3.29
4 Nd 0.6517 0.6517 0.0554  3 Te 3.16-3.24, 1 Sb 3.29
5 Nd 0.8169 0.8169 0.4358  1 Te 3.10, 3 Sb 3.10-3.19
6 Nd 0.9843 0.9843 0.8239  2 Sb 3.14, 1 Te 3.15
7 Sb 0.3710 0.3710 0.6522  6 Nd 3.10-3.29
8 Sb 0.6290 0.6290 0.3478  6 Nd 3.10-3.29
9 Te 0.1621 0.1621 0.8401  5 Nd 3.10-3.24
10 Te 0.8379 0.8379 0.1599  5 Nd 3.10-3.24

No. 6
Below is a relaxed structure of Nd4Sb3Te, with properties calculated at the PBE level.

Raw formation energy, eV per atom: -1.282
Polymorph energy (0 for the lowest one), meV per atom: 0
SG: No. 139

Cell: 7.8285 7.8285 7.8285 Å, 131.81 131.81 70.53°
With the nearest neighbours (Å) after each atom.
Positions (direct):
1 Nd 0.0000 0.5000 0.5000  4 Sb 3.20, 2 Te 3.20
2 Nd 0.2466 0.2466 0.0000  5 Sb 3.15-3.20, 1 Te 3.24
3 Nd 0.5000 0.0000 0.5000  4 Sb 3.20, 2 Te 3.20
4 Nd 0.7534 0.7534 0.0000  5 Sb 3.15-3.20, 1 Te 3.24
5 Sb 0.0000 0.0000 0.0000  6 Nd 3.15-3.20
6 Sb 0.2500 0.7500 0.5000  6 Nd 3.20
7 Sb 0.7500 0.2500 0.5000  6 Nd 3.20
8 Te 0.5000 0.5000 0.0000  6 Nd 3.20-3.24